Entry 1:
Ca2HgH2 after structural relaxation, computed with PBEsol.

Output
magnetization: 0.000 μB/atom
DFT total energy: -2.845 eV per atom
density: 5.25 g/cm³

abc: 3.7856 3.7856 12.4916
angles: 90.00 90.00 90.00
Last column: nearest neighbours and their distance in Å.
Space group I4/mmm (No. 139)
Symmetry-distinct sites (fractional):
Ca  0.0000  0.0000  0.1514  4 H 2.26
Hg  0.0000  0.0000  0.5000  8 Ca 3.28, 8 H 3.65
H  0.0000  0.5000  0.2500  4 Ca 2.26

Entry 2:
Tl2CrCu after structural relaxation, computed with PBEsol.

Output
magnetization: 0.982 μB/atom
DFT total energy: -4.363 eV per atom
DFT formation energy: 2.38 eV per formula unit
density: 11.18 g/cm³

abc: 3.2630 3.2630 25.3394
angles: 90.00 90.00 120.00
Last column: nearest neighbours and their distance in Å.
Space group R-3m (No. 166, hexagonal axes)
Symmetry-distinct sites (fractional):
Tl  0.0000  0.0000  0.2461  3 Cu 2.76, 3 Cr 2.90
Cr  0.0000  0.0000  0.0000  6 Tl 2.90
Cu  0.0000  0.0000  0.5000  6 Tl 2.76

Entry 3:
Sc2SbP after structural relaxation, computed with PBEsol.

Output
magnetization: 0.001 μB/atom
DFT total energy: -6.777 eV per atom
density: 5.13 g/cm³

abc: 3.2689 3.2689 7.3493
angles: 90.00 90.00 90.00
Last column: nearest neighbours and their distance in Å.
Space group P4/mmm (No. 123)
Symmetry-distinct sites (fractional):
Sc  0.0000  0.0000  0.2045  4 P 2.76, 1 Sc 3.01
Sb  0.5000  0.5000  0.5000  8 Sc 3.17, 4 Sb 3.27
P  0.5000  0.5000  0.0000  8 Sc 2.76

Entry 4:
TbSn3 after structural relaxation, computed with PBEsol.

Output
magnetization: 0.000 μB/atom
DFT total energy: -4.881 eV per atom
DFT formation energy: -1.74 eV per formula unit
density: 8.27 g/cm³

abc: 4.3498 4.3702 21.7719
angles: 90.00 90.00 90.00
Last column: nearest neighbours and their distance in Å.
Space group Amm2 (No. 38)
Symmetry-distinct sites (fractional):
Tb  0.0000  0.0000  0.0000  10 Sn 3.09-3.34
Tb  0.5000  0.0000  0.2730  9 Sn 3.13-3.27
Sn  0.0000  0.0000  0.3837  4 Sn 3.08, 4 Tb 3.25-3.34
Sn  0.0000  0.0000  0.6140  7 Sn 2.92-3.19
Sn  0.0000  0.0000  0.7480  1 Sn 2.92, 4 Tb 3.13
Sn  0.5000  0.0000  0.1236  6 Sn 3.09-3.35, 3 Tb 3.25-3.46
Sn  0.5000  0.0000  0.5070  4 Tb 3.09, 8 Sn 3.19-3.45
Sn  0.5000  0.0000  0.8845  6 Sn 3.08-3.45, 4 Tb 3.27-3.33

Entry 5:
FeNi2W after structural relaxation, computed with PBEsol.

Output
magnetization: 0.298 μB/atom
ΔE to the lowest computed polymorph: 0 meV per atom
DFT total energy: -8.820 eV per atom
DFT formation energy: -0.19 eV per formula unit
density: 12.89 g/cm³

abc: 3.5047 3.5047 7.4897
angles: 90.00 90.00 90.00
Last column: nearest neighbours and their distance in Å.
Space group I4/mmm (No. 139)
Symmetry-distinct sites (fractional):
Fe  0.0000  0.0000  0.0000  4 W 2.48, 8 Ni 2.56
Ni  0.0000  0.5000  0.2500  4 Ni 2.48, 4 Fe 2.56, 4 W 2.56
W  0.0000  0.0000  0.5000  4 Fe 2.48, 8 Ni 2.56

Entry 6:
InGaSb2 after structural relaxation, computed with PBEsol.

Output
magnetization: 0.000 μB/atom
ΔE to the lowest computed polymorph: 17 meV per atom
DFT total energy: -3.942 eV per atom
density: 5.64 g/cm³

abc: 4.4624 4.4624 21.9301
angles: 90.00 90.00 120.00
Last column: nearest neighbours and their distance in Å.
Space group R3m (No. 160, hexagonal axes)
Symmetry-distinct sites (fractional):
In  0.0000  0.0000  0.0000  4 Sb 2.78-2.82
Ga  0.0000  0.0000  0.4990  4 Sb 2.64-2.70
Sb  0.0000  0.0000  0.1284  3 Ga 2.70, 1 In 2.82
Sb  0.0000  0.0000  0.6196  1 Ga 2.64, 3 In 2.78

Entry 7:
MnRu2Pb after structural relaxation, computed with PBEsol.

Output
magnetization: 0.589 μB/atom
DFT total energy: -7.897 eV per atom
DFT formation energy: 2.52 eV per formula unit
density: 12.24 g/cm³

abc: 2.9278 2.9278 25.4506
angles: 90.00 90.00 120.00
Last column: nearest neighbours and their distance in Å.
Space group R-3m (No. 166, hexagonal axes)
Symmetry-distinct sites (fractional):
Mn  0.0000  0.0000  0.0000  6 Ru 2.51
Ru  0.0000  0.0000  0.2603  3 Mn 2.51
Pb  0.0000  0.0000  0.5000  6 Ru 2.92, 6 Pb 2.93

Entry 8:
CaMg14NiO16 after structural relaxation, computed with PBEsol.

Output
magnetization: 0.062 μB/atom
DFT total energy: -6.227 eV per atom
density: 3.74 g/cm³

abc: 8.5002 8.5002 4.2746
angles: 90.00 90.00 90.00
Last column: nearest neighbours and their distance in Å.
Space group P4/mmm (No. 123)
Symmetry-distinct sites (fractional):
Ca  0.0000  0.0000  0.0000  6 O 2.14-2.24
Mg  0.0000  0.2557  0.5000  6 O 2.08-2.17
Mg  0.0000  0.5000  0.0000  6 O 2.01-2.15
Mg  0.2527  0.5000  0.5000  6 O 2.10-2.15
Mg  0.2543  0.2543  0.0000  6 O 2.09-2.16
Ni  0.5000  0.5000  0.0000  6 O 2.10-2.14
O  0.0000  0.0000  0.5000  2 Ca 2.14, 4 Mg 2.17
O  0.0000  0.2636  0.0000  5 Mg 2.01-2.16, 1 Ca 2.24
O  0.0000  0.5000  0.5000  6 Mg 2.08-2.15
O  0.2505  0.2505  0.5000  6 Mg 2.12-2.14
O  0.2525  0.5000  0.0000  5 Mg 2.09-2.15, 1 Ni 2.10
O  0.5000  0.5000  0.5000  4 Mg 2.10, 2 Ni 2.14

Entry 9:
Li5V4O12F after structural relaxation, computed with PBEsol.

Output
magnetization: 0.000 μB/atom
DFT total energy: -7.512 eV per atom
density: 3.29 g/cm³

abc: 4.6230 10.0621 10.7394
angles: 90.00 114.80 90.00
Last column: nearest neighbours and their distance in Å.
Space group P2_1/c (No. 14)
Symmetry-distinct sites (fractional):
Li  0.0000  0.0000  0.0000  4 O 1.97-2.03
Li  0.2669  0.1364  0.8663  3 O 1.90-2.12, 1 F 1.95
Li  0.3308  0.6313  0.3356  3 O 1.95-2.14, 1 F 2.08
V  0.0484  0.6573  0.9919  3 O 1.65-1.80
V  0.3951  0.5291  0.8370  2 O 1.66-1.70
O  0.0820  0.0158  0.1952  1 V 1.66
O  0.0958  0.1964  0.9941  1 V 1.65
O  0.2199  0.0424  0.4658  2 V 1.89-2.01
O  0.2424  0.6896  0.8804  2 V 1.80-1.90, 1 Li 1.95
O  0.3397  0.1111  0.7064  1 V 1.70, 1 Li 1.90
O  0.3821  0.6410  0.1491  1 V 1.75
F  0.5000  0.0000  0.0000  4 Li 1.95-2.08

Entry 10:
YTaCo after structural relaxation, computed with PBEsol.

Output
magnetization: 0.000 μB/atom
DFT total energy: -8.102 eV per atom
DFT formation energy: 2.81 eV per formula unit
density: 9.33 g/cm³

abc: 6.1639 6.1639 6.1639
angles: 90.00 90.00 90.00
Last column: nearest neighbours and their distance in Å.
Space group F-43m (No. 216)
Symmetry-distinct sites (fractional):
Y  0.0000  0.0000  0.0000  4 Ta 2.67
Ta  0.2500  0.2500  0.7500  4 Co 2.67, 4 Y 2.67
Co  0.0000  0.0000  0.5000  4 Ta 2.67

Entry 11:
Te2HPt after structural relaxation, computed with PBEsol.

Output
magnetization: 0.000 μB/atom
ΔE to the lowest computed polymorph: 0 meV per atom
DFT total energy: -4.362 eV per atom
density: 7.80 g/cm³

abc: 4.0854 4.0854 19.9300
angles: 90.00 90.00 120.00
Last column: nearest neighbours and their distance in Å.
Space group R-3m (No. 166, hexagonal axes)
Symmetry-distinct sites (fractional):
Te  0.0000  0.0000  0.1000  1 H 1.99
H  0.0000  0.0000  0.0000  2 Te 1.99
Pt  0.0000  0.0000  0.5000  6 Te 2.71

Entry 12:
CaFe2Pt after structural relaxation, computed with PBEsol.

Output
magnetization: 1.427 μB/atom
DFT total energy: -6.537 eV per atom
DFT formation energy: 0.88 eV per formula unit
density: 9.20 g/cm³

abc: 3.8165 3.8165 8.5917
angles: 90.00 90.00 90.00
Last column: nearest neighbours and their distance in Å.
Space group I4/mmm (No. 139)
Symmetry-distinct sites (fractional):
Ca  0.0000  0.0000  0.0000  4 Pt 2.70, 8 Fe 2.87
Fe  0.0000  0.5000  0.2500  4 Fe 2.70, 4 Ca 2.87, 4 Pt 2.87
Pt  0.0000  0.0000  0.5000  4 Ca 2.70, 8 Fe 2.87

Entry 13:
MnSbPt after structural relaxation, computed with PBEsol.

Output
magnetization: 1.282 μB/atom
ΔE to the lowest computed polymorph: 282 meV per atom
DFT total energy: -7.082 eV per atom
density: 11.89 g/cm³

abc: 4.4987 4.4987 2.9617
angles: 90.00 90.00 120.00
Last column: nearest neighbours and their distance in Å.
Space group P-6m2 (No. 187)
Symmetry-distinct sites (fractional):
Mn  0.0000  0.0000  0.0000  2 Mn 2.96, 6 Pt 2.99, 6 Sb 2.99
Sb  0.6667  0.3333  0.5000  3 Pt 2.60
Pt  0.3333  0.6667  0.5000  3 Sb 2.60

Entry 14:
K3Ta3B2O12 after structural relaxation, computed with PBEsol.

Output
magnetization: 0.000 μB/atom
DFT total energy: -8.558 eV per atom
density: 5.52 g/cm³

abc: 8.8086 8.8086 3.9100
angles: 90.00 90.00 120.00
Last column: nearest neighbours and their distance in Å.
Space group P-62m (No. 189)
Symmetry-distinct sites (fractional):
K  0.0000  0.4035  0.0000  7 O 2.78-2.93
Ta  0.0000  0.7529  0.5000  6 O 1.95-2.02
B  0.3333  0.6667  0.5000  3 O 1.37
O  0.0000  0.1797  0.5000  2 Ta 1.95
O  0.0000  0.7362  0.0000  2 Ta 1.96
O  0.1875  0.6848  0.5000  1 B 1.37

Entry 15:
NbOsN2 after structural relaxation, computed with PBEsol.

Output
magnetization: 0.000 μB/atom
DFT total energy: -10.200 eV per atom
density: 10.72 g/cm³

abc: 4.1272 4.1272 11.3183
angles: 90.00 90.00 90.00
Last column: nearest neighbours and their distance in Å.
Space group I-42d (No. 122)
Symmetry-distinct sites (fractional):
Nb  0.0000  0.0000  0.0000  4 N 2.06
Os  0.0000  0.0000  0.5000  4 N 2.00
N  0.2349  0.2500  0.6250  2 Os 2.00, 2 Nb 2.06

Entry 16:
NaAgCl2 after structural relaxation, computed with PBEsol.

Output
magnetization: 0.000 μB/atom
ΔE to the lowest computed polymorph: 0 meV per atom
DFT total energy: -3.214 eV per atom
density: 3.09 g/cm³

abc: 6.0303 6.0303 11.9425
angles: 90.00 90.00 90.00
Last column: nearest neighbours and their distance in Å.
Space group I-42d (No. 122)
Symmetry-distinct sites (fractional):
Na  0.0000  0.0000  0.0000  4 Cl 2.66
Ag  0.0000  0.0000  0.5000  4 Cl 2.54
Cl  0.2328  0.2500  0.6250  2 Ag 2.54, 2 Na 2.66

Entry 17:
CdCoSe3 after structural relaxation, computed with PBEsol.

Output
magnetization: 0.588 μB/atom
DFT total energy: -2.919 eV per atom
density: 5.17 g/cm³

abc: 5.0802 5.0802 5.0802
angles: 90.00 90.00 90.00
Last column: nearest neighbours and their distance in Å.
Space group Pm-3m (No. 221)
Symmetry-distinct sites (fractional):
Cd  0.0000  0.0000  0.0000  6 Se 2.54
Co  0.5000  0.5000  0.5000  12 Se 3.59
Se  0.0000  0.0000  0.5000  2 Cd 2.54

Entry 18:
TcRhSeN2 after structural relaxation, computed with PBEsol.

Output
magnetization: 0.000 μB/atom
DFT total energy: -7.357 eV per atom
density: 7.07 g/cm³

abc: 3.7204 3.7204 5.2258
angles: 90.00 90.00 90.00
Last column: nearest neighbours and their distance in Å.
Space group P4/mmm (No. 123)
Symmetry-distinct sites (fractional):
Tc  0.0000  0.0000  0.0000  4 N 1.86
Rh  0.5000  0.5000  0.5000  4 Se 2.63
Se  0.0000  0.0000  0.5000  2 Tc 2.61, 4 Rh 2.63
N  0.0000  0.5000  0.0000  2 Tc 1.86

Entry 19:
BiTeNF2 after structural relaxation, computed with PBEsol.

Output
magnetization: 0.120 μB/atom
DFT total energy: -4.365 eV per atom
density: 7.14 g/cm³

abc: 4.3954 4.3954 4.6769
angles: 90.00 90.00 90.00
Last column: nearest neighbours and their distance in Å.
Space group P4/mmm (No. 123)
Symmetry-distinct sites (fractional):
Bi  0.0000  0.0000  0.0000  4 F 2.20, 2 N 2.34
Te  0.5000  0.5000  0.5000  4 N 3.11, 8 F 3.21
N  0.0000  0.0000  0.5000  2 Bi 2.34
F  0.0000  0.5000  0.0000  2 Bi 2.20

Entry 20:
Na2OsW after structural relaxation, computed with PBEsol.

Output
magnetization: 0.407 μB/atom
DFT total energy: -5.017 eV per atom
DFT formation energy: 8.75 eV per formula unit
density: 10.38 g/cm³

abc: 6.4541 6.4541 6.4541
angles: 90.00 90.00 90.00
Last column: nearest neighbours and their distance in Å.
Space group Fm-3m (No. 225)
Symmetry-distinct sites (fractional):
Na  0.2500  0.2500  0.2500  4 W 2.79, 4 Os 2.79
Os  0.0000  0.0000  0.0000  8 Na 2.79
W  0.0000  0.0000  0.5000  8 Na 2.79

Entry 21:
Sr2GdCrCu2O8 after structural relaxation, computed with PBEsol.

Output
magnetization: 0.550 μB/atom
DFT total energy: -7.786 eV per atom
density: 6.51 g/cm³

abc: 10.8864 5.4461 5.5027
angles: 90.00 90.00 90.00
Last column: nearest neighbours and their distance in Å.
Space group Amm2 (No. 38)
Symmetry-distinct sites (fractional):
Sr  0.1835  0.0000  0.0000  11 O 2.54-2.81
Gd  0.5000  0.0000  0.9851  8 O 2.42-2.43
Cr  0.0000  0.0000  0.5314  4 O 1.73-1.75
Cu  0.3560  0.0000  0.4867  4 O 1.93-1.94
O  0.0000  0.2402  0.7360  1 Cr 1.73
O  0.1569  0.0000  0.4591  1 Cr 1.75
O  0.3653  0.2504  0.2361  2 Cu 1.93-1.94

Entry 22:
LiPm2Ge after structural relaxation, computed with PBEsol.

Output
magnetization: 0.000 μB/atom
DFT total energy: -4.743 eV per atom
DFT formation energy: -1.79 eV per formula unit
density: 6.62 g/cm³

abc: 7.1858 7.1858 7.1858
angles: 90.00 90.00 90.00
Last column: nearest neighbours and their distance in Å.
Space group Fm-3m (No. 225)
Symmetry-distinct sites (fractional):
Li  0.0000  0.0000  0.0000  8 Pm 3.11
Pm  0.2500  0.2500  0.2500  4 Li 3.11, 4 Ge 3.11
Ge  0.0000  0.0000  0.5000  8 Pm 3.11

Entry 23:
YLuSe3 after structural relaxation, computed with PBEsol.

Output
magnetization: 0.000 μB/atom
ΔE to the lowest computed polymorph: 0 meV per atom
DFT total energy: -6.527 eV per atom
density: 6.19 g/cm³

abc: 6.8772 11.9614 6.9207
angles: 90.00 109.19 90.00
Last column: nearest neighbours and their distance in Å.
Space group C2 (No. 5)
Symmetry-distinct sites (fractional):
Y  0.0000  0.0000  0.0000  6 Se 2.82-2.84
Y  0.0000  0.1663  0.5000  6 Se 2.82-2.83
Lu  0.0000  0.3346  0.0000  6 Se 2.77-2.80
Lu  0.0000  0.6677  0.0000  6 Se 2.77-2.81
Se  0.2425  0.5032  0.2441  2 Lu 2.77-2.80, 2 Y 2.82-2.83
Se  0.2467  0.1708  0.2458  2 Lu 2.78-2.81, 2 Y 2.82-2.84
Se  0.2494  0.3308  0.7571  2 Lu 2.77, 2 Y 2.82-2.83